The following is a PBE with a Hubbard U calculation of a relaxed structure of MnBiO2F, from Alexandria.

a b c (Å): 4.462 4.462 4.470
angles (deg): 90.00 90.00 90.00
Space group P4/mmm (No. 123)
One atom of each set of equivalent atoms:
Mn (0.000, 0.000, 0.000) x1
Bi (0.500, 0.500, 0.500) x1
O (0.000, 0.500, 0.500) x2
F (0.500, 0.500, 0.000) x1

Results
Density of states at the Fermi level = 0.298 states/eV/atom
Volume = 17.80 Å³/atom
Magnetic moment = 1.0816 μB per atom
Total energy = -27.53 eV for the cell shown